1.
# Li2LaCu2

A PBEsol-optimized structure of Li2LaCu2 (SCAN, Alexandria).

abc: 3.8700 3.8700 6.8055
angles: 106.52 106.52 90.00
Fractional coordinates of all 5 atoms:
Cu: 0.5994 0.5994 0.1988
Li: 0.7500 0.2500 0.5000
Li: 0.2500 0.7500 0.5000
Cu: 0.4006 0.4006 0.8012
La: 0.0000 0.0000 0.0000

Output
For the formation enthalpy at 0 K, the calculation gives -0.10 eV/atom. Its space-group type is I4/mmm, No. 139.


2.
# LiLa2Cu

A PBEsol-optimized structure of LiLa2Cu (SCAN, Alexandria).

abc: 3.6893 3.6904 7.5576
angles: 90.00 90.04 90.00
Fractional coordinates of all 4 atoms:
Cu: 0.5000 0.5000 0.5000
La: 0.9994 0.0000 0.2905
La: 0.0006 0.0000 0.7095
Li: 0.5000 0.5000 0.0000

Output
As for the offset from the most stable computed form: 0.00 eV/f.u. For the formation enthalpy at 0 K, the calculation gives -0.06 eV/atom. Its space-group type is P4/mmm, No. 123.


no.,DFT total energy (eV/atom)
1,-15.75
2,-26.01